No. 1
# CsRbS2Cl

A geometry-optimized CsRbS2Cl structure (PBE-GGA, the Alexandria database).

a b c (Å): 5.6322 5.6322 6.5345
angles (deg): 90.00 90.00 90.00
Last column: nearest neighbours and their distance in Å.
Element x y z (fractional)
S 0.0000 0.5000 0.0000  2 Cs 2.82
S 0.5000 0.0000 0.0000  2 Cs 2.82
Rb 0.5000 0.5000 0.5000  4 Cl 3.98, 8 S 4.31
Cl 0.0000 0.0000 0.5000  2 Cs 3.27
Cs 0.0000 0.0000 0.0000  4 S 2.82

Results
Space-group type = No. 123
Mass density = 2.55 g cm⁻³
Uncorrected formation energy = -0.69 eV per formula unit
Electronic total energy = -12.62 eV for the cell shown
N(E_F) = 1.54 states/eV per atom


No. 2
# PIr2Os

A geometry-optimized PIr2Os structure (PBE-GGA, the Alexandria database).

a b c (Å): 2.7504 2.7504 8.9109
angles (deg): 90.00 90.00 120.82
Last column: nearest neighbours and their distance in Å.
Element x y z (fractional)
Ir 0.0000 0.0000 0.7662  2 P 2.49, 6 Ir 2.72-2.75, 2 Os 2.73
Ir 0.0000 0.0000 0.2338  2 P 2.49, 6 Ir 2.72-2.75, 2 Os 2.73
P 0.5000 0.5000 0.0000  4 Ir 2.49, 6 P 2.72-2.75
Os 0.5000 0.5000 0.5000  6 Os 2.72-2.75, 4 Ir 2.73

Results
Space-group type = No. 65
Calculated formation energy = 0.441 eV per atom
Mass density = 17.37 g cm⁻³
Electronic total energy = -32.60 eV for the cell shown
N(E_F) = 1.03 states/eV per atom